No. 1
The following is a DFT calculation (PBE) of ErSc2UAs4 after structural relaxation.

Unit cell a=6.880 b=3.973 c=6.907 alpha=90.00 beta=109.29 gamma=90.00
Atoms (fractional coordinates):
Er1 0.000 0.000 0.000
Sc1 0.500 0.000 0.500
Sc2 0.500 0.500 0.000
U1 0.000 0.500 0.500
As1 0.261 0.500 0.256
As2 0.263 0.000 0.754
As3 0.737 0.000 0.246
As4 0.739 0.500 0.744

Output
As for the size of the total moment: 2.3 μB/f.u. For the energy, the calculation gives -0.262 Ha/atom. Its formation energy is -1243 meV/atom.



No. 2
The following is a DFT calculation (PBE) of Er2ScUAs4 after structural relaxation.

Unit cell a=6.972 b=4.024 c=6.991 alpha=90.00 beta=109.17 gamma=90.00
Atoms (fractional coordinates):
Er1 0.000 0.000 0.000
Er2 0.500 0.500 0.000
Sc1 0.000 0.500 0.500
U1 0.500 0.000 0.500
As1 0.244 0.000 0.740
As2 0.246 0.500 0.254
As3 0.754 0.500 0.746
As4 0.756 0.000 0.260

Output
As for the size of the total moment: 2.2 μB/f.u. For the energy, the calculation gives -0.255 Ha/atom. Its formation energy is -1271 meV/atom.



Which of these has the lowest size of the total moment?
Er2ScUAs4



The highest size of the total moment belongs to which entry?
ErSc2UAs4



What did the first record say?
The following is a DFT calculation (PBE) of ErSc2UAs4 after structural relaxation.

Unit cell a=6.880 b=3.973 c=6.907 alpha=90.00 beta=109.29 gamma=90.00
Atoms (fractional coordinates):
Er1 0.000 0.000 0.000
Sc1 0.500 0.000 0.500
Sc2 0.500 0.500 0.000
U1 0.000 0.500 0.500
As1 0.261 0.500 0.256
As2 0.263 0.000 0.754
As3 0.737 0.000 0.246
As4 0.739 0.500 0.744

Output
As for the size of the total moment: 2.3 μB/f.u. For the energy, the calculation gives -0.262 Ha/atom. Its formation energy is -1243 meV/atom.